(1)
Here is a relaxed structure of PmSm2Tm3Sb6 from the Alexandria database. Energies are from PBE.

a = 9.851 Å, b = 9.851 Å, c = 8.811 Å
α = 102.78°, β = 102.78°, γ = 25.87°
Sites, in units of the cell vectors:
1 Pm 0.000 0.000 0.000
2 Sm 0.333 0.333 0.667
3 Sm 0.667 0.667 0.333
4 Tm 0.000 0.000 0.500
5 Tm 0.334 0.334 0.167
6 Tm 0.666 0.666 0.833
7 Sb 0.165 0.165 0.588
8 Sb 0.169 0.169 0.078
9 Sb 0.498 0.498 0.256
10 Sb 0.502 0.502 0.744
11 Sb 0.831 0.831 0.922
12 Sb 0.835 0.835 0.412

Calculated values
Uncorrected formation energy, meV per atom: -1121
Electronic total energy, eV/atom: -5.483

***

(2)
Here is a relaxed structure of Zn2Te from the Alexandria database. Energies are from PBE.

a = 5.051 Å, b = 5.051 Å, c = 5.051 Å
α = 133.59°, β = 133.59°, γ = 67.73°
Sites, in units of the cell vectors:
1 Zn 0.159 0.159 0.000
2 Zn 0.841 0.841 0.000
3 Te 0.500 0.500 0.000

Calculated values
Uncorrected formation energy, meV per atom: 144
Energy above the most stable polymorph in this dataset, meV/atom: 265
Electronic total energy, eV/atom: -1.752

***

(3)
Here is a relaxed structure of K2GaPb2 from the Alexandria database. Energies are from PBE.

a = 9.170 Å, b = 9.170 Å, c = 9.170 Å
α = 130.75°, β = 68.38°, γ = 135.70°
Sites, in units of the cell vectors:
1 K 0.146 0.192 0.338
2 K 0.354 0.692 0.046
3 K 0.646 0.308 0.954
4 K 0.854 0.808 0.662
5 Ga 0.250 0.750 0.500
6 Ga 0.750 0.250 0.500
7 Pb 0.105 0.703 0.808
8 Pb 0.395 0.203 0.598
9 Pb 0.605 0.797 0.402
10 Pb 0.895 0.297 0.192

Calculated values
Energy above the most stable polymorph in this dataset, meV/atom: 22
Electronic total energy, eV/atom: -2.563

***

(4)
Here is a relaxed structure of BeNi2Se from the Alexandria database. Energies are from PBE.

a = 2.897 Å, b = 2.910 Å, c = 5.583 Å
α = 90.00°, β = 90.00°, γ = 90.00°
Sites, in units of the cell vectors:
1 Be 0.000 0.000 0.000
2 Ni 0.500 0.500 0.220
3 Ni 0.500 0.500 0.780
4 Se 0.000 0.000 0.500

Calculated values
Uncorrected formation energy, meV per atom: -11
Energy above the most stable polymorph in this dataset, meV/atom: 37
Electronic total energy, eV/atom: -4.704

***

(5)
Here is a relaxed structure of B5C7 from the Alexandria database. Energies are from PBE.

a = 4.695 Å, b = 4.695 Å, c = 8.105 Å
α = 119.67°, β = 119.67°, γ = 32.13°
Sites, in units of the cell vectors:
1 B 0.000 0.000 0.000
2 B 0.276 0.276 0.687
3 B 0.508 0.508 0.161
4 B 0.577 0.577 0.649
5 B 0.856 0.856 0.319
6 C 0.044 0.044 0.523
7 C 0.176 0.176 0.981
8 C 0.188 0.188 0.456
9 C 0.341 0.341 0.181
10 C 0.661 0.661 0.872
11 C 0.697 0.697 0.367
12 C 0.817 0.817 0.805

Calculated values
Energy above the most stable polymorph in this dataset, meV/atom: 120
Electronic total energy, eV/atom: -7.784

***

(6)
Here is a relaxed structure of MnTl2Ni from the Alexandria database. Energies are from PBE.

a = 4.714 Å, b = 4.714 Å, c = 4.714 Å
α = 60.00°, β = 60.00°, γ = 60.00°
Sites, in units of the cell vectors:
1 Mn 0.000 0.000 0.000
2 Tl 0.250 0.250 0.250
3 Tl 0.750 0.750 0.750
4 Ni 0.500 0.500 0.500

Calculated values
Energy above the most stable polymorph in this dataset, meV/atom: 159
Electronic total energy, eV/atom: -4.478

***

What is the electronic total energy in the fourth record? -4.704 eV/atom

***

electronic total energy of number 5 (B5C7)? -7.784 eV/atom

***

Look up the electronic total energy of the second one. -1.752 eV/atom